*w*
Here is a relaxed SmAl4Ga crystal from Alexandria via LeMat-Bulk. Energies are from PBE.

Structure (POSCAR):
```
SmAl4Ga
1.0
-2.5733 2.5733 10.3871
2.5733 -2.5733 10.3871
2.5733 2.5733 -10.3871
Sm Al Ga
2 8 2
direct
0.3750 0.6250 0.7500
0.6250 0.3750 0.2500
0.2290 0.2330 0.5041
0.2290 0.7249 0.9959
0.2330 0.2290 0.0041
0.2751 0.7710 0.5041
0.7249 0.2290 0.4959
0.7670 0.7710 0.9959
0.7710 0.2751 0.0041
0.7710 0.7670 0.4959
0.1250 0.8750 0.2500
0.8750 0.1250 0.7500
```

Values from the calculation:
**V**: 22.93 A^3/atom
**Total moment**: 0.0 μB per formula unit
**SG**: No. 141

=====

*x*
Here is a relaxed SmAl4Ga crystal from Alexandria via LeMat-Bulk. Energies are from PBE.

Structure (POSCAR):
```
SmAl4Ga
1.0
0.0000 3.9184 3.9184
3.9184 0.0000 3.9184
3.9184 3.9184 0.0000
Sm Al Ga
1 4 1
direct
0.0000 0.0000 0.0000
0.3750 0.3750 0.3750
0.3750 0.3750 0.8749
0.3750 0.8749 0.3750
0.8749 0.3750 0.3750
0.7500 0.7500 0.7500
```

Values from the calculation:
**V**: 20.05 A^3/atom
**Total moment**: 0.0 μB per formula unit
**SG**: No. 216

=====

*y*
Here is a relaxed SmAl4Ga crystal from Alexandria via LeMat-Bulk. Energies are from PBE.

Structure (POSCAR):
```
SmAl4Ga
1.0
2.1246 -6.2954 0.0000
2.1246 6.2954 0.0000
0.0000 0.0000 4.3053
Sm Al Ga
1 4 1
direct
0.0000 0.0000 0.0000
0.1761 0.8239 0.5000
0.3197 0.6803 0.0000
0.6803 0.3197 0.0000
0.8239 0.1761 0.5000
0.5000 0.5000 0.5000
```

Values from the calculation:
**V**: 19.19 A^3/atom
**Total moment**: 0.0 μB per formula unit
**SG**: No. 65

=====

Of them, *w* has the lowest stability.

=====

*w*
Here is a relaxed SmTmAlGa crystal from Alexandria via LeMat-Bulk. Energies are from PBE.

Structure (POSCAR):
```
SmTmAlGa
1.0
4.0909 0.0000 0.0000
0.0000 2.2106 5.5263
0.0000 -2.2106 5.5263
Sm Tm Al Ga
1 1 1 1
direct
0.0000 0.0000 0.0000
0.5000 0.2807 0.2807
0.0000 0.7138 0.7138
0.5000 0.5657 0.5657
```

Values from the calculation:
**V**: 24.99 A^3/atom
**Total moment**: 0.0 μB per formula unit
**SG**: No. 38

=====

*x*
Here is a relaxed SmTmAlGa crystal from Alexandria via LeMat-Bulk. Energies are from PBE.

Structure (POSCAR):
```
SmTmAlGa
1.0
0.0000 3.6065 3.6065
3.6065 0.0000 3.6065
3.6065 3.6065 0.0000
Sm Tm Al Ga
1 1 1 1
direct
0.0000 0.0000 0.0000
0.5000 0.5000 0.5000
0.2500 0.2500 0.2500
0.7500 0.7500 0.7500
```

Values from the calculation:
**V**: 23.45 A^3/atom
**Total moment**: 0.0 μB per formula unit
**SG**: No. 216

=====

Of them, *x* has the lowest stability.

=====

*w*
Here is a relaxed Al2GaSn crystal from Alexandria via LeMat-Bulk. Energies are from PBE.

Structure (POSCAR):
```
Al2GaSn
1.0
3.3964 0.0000 0.0000
0.0000 3.3964 0.0000
0.0000 0.0000 7.0332
Al Ga Sn
2 1 1
direct
0.0000 0.0000 0.2103
0.0000 0.0000 0.7897
0.5000 0.5000 0.0000
0.5000 0.5000 0.5000
```

Values from the calculation:
**V**: 20.28 A^3/atom
**Total moment**: 0.0 μB per formula unit
**SG**: No. 123

=====

*x*
Here is a relaxed Al2GaSn crystal from Alexandria via LeMat-Bulk. Energies are from PBE.

Structure (POSCAR):
```
Al2GaSn
1.0
-3.8032 3.8032 2.9259
3.8032 -3.8032 2.9259
3.8032 3.8032 -2.9259
Al Ga Sn
4 2 2
direct
0.1008 0.1250 0.4758
0.3750 0.8992 0.0242
0.6492 0.6250 0.5242
0.8750 0.3508 0.9758
0.0000 0.0000 0.0000
0.7500 0.2500 0.5000
0.2500 0.7500 0.5000
0.5000 0.5000 0.0000
```

Values from the calculation:
**V**: 21.16 A^3/atom
**Total moment**: 0.0 μB per formula unit
**SG**: No. 122

=====

*y*
Here is a relaxed Al2GaSn crystal from Alexandria via LeMat-Bulk. Energies are from PBE.

Structure (POSCAR):
```
Al2GaSn
1.0
0.0000 3.4487 3.4487
3.4487 0.0000 3.4487
3.4487 3.4487 0.0000
Al Ga Sn
2 1 1
direct
0.2500 0.2500 0.2500
0.7500 0.7500 0.7500
0.0000 0.0000 0.0000
0.5000 0.5000 0.5000
```

Values from the calculation:
**V**: 20.51 A^3/atom
**Total moment**: 0.0 μB per formula unit
**SG**: No. 225

=====

*z*
Here is a relaxed Al2GaSn crystal from Alexandria via LeMat-Bulk. Energies are from PBE.

Structure (POSCAR):
```
Al2GaSn
1.0
2.1273 1.2282 5.5414
-2.1273 1.2282 5.5414
0.0000 -2.4564 5.5414
Al Ga Sn
2 1 1
direct
0.0000 0.0000 0.0000
0.1894 0.1894 0.1894
0.5983 0.5983 0.5983
0.4263 0.4263 0.4263
```

Values from the calculation:
**V**: 21.72 A^3/atom
**Total moment**: 0.0 μB per formula unit
**SG**: No. 160

=====

Of them, *x* has the lowest stability.